! Nd2TmAu (GGA-PBE, relaxed); values from VASP
&SYSTEM
  ibrav = 0, nat = 4, ntyp = 3
/
ATOMIC_SPECIES
Nd 144.24 Nd.upf
Tm 168.93 Tm.upf
Au 196.97 Au.upf
ATOMIC_POSITIONS angstrom
Nd 0.000 0.000 0.000
Nd 0.000 0.000 13.026
Tm 0.000 0.000 17.133
Au 0.000 0.000 25.249
CELL_PARAMETERS angstrom
1.885 1.088 10.009
-1.885 1.088 10.009
0.000 -2.177 10.009
! * DOS at the Fermi energy: 0.761 states/eV/atom
! * energy relative to the lowest polymorph listed for this composition: 0.005 eV/atom
! * SG: R3m (160)
! * volume: 30.81 Å³ per atom
! * calculated formation energy: -31.9 kJ per mole of atoms
! * electronic total energy: -4.652 eV per atom

=====

! Nd2TmAu (GGA-PBE, relaxed); values from VASP
&SYSTEM
  ibrav = 0, nat = 4, ntyp = 3
/
ATOMIC_SPECIES
Nd 144.24 Nd.upf
Tm 168.93 Tm.upf
Au 196.97 Au.upf
ATOMIC_POSITIONS angstrom
Nd 0.000 0.000 1.804
Nd 0.000 0.000 6.595
Tm 1.871 1.871 4.200
Au 1.871 1.871 0.000
CELL_PARAMETERS angstrom
3.743 0.000 0.000
0.000 3.743 0.000
0.000 0.000 8.399
! * DOS at the Fermi energy: 1.518 states/eV/atom
! * energy relative to the lowest polymorph listed for this composition: 0.000 eV/atom
! * SG: P4/mmm (123)
! * volume: 29.41 Å³ per atom
! * calculated formation energy: -32.4 kJ per mole of atoms
! * electronic total energy: -4.657 eV per atom

=====

! Nd3TmAu2 (GGA-PBE, relaxed); values from VASP
&SYSTEM
  ibrav = 0, nat = 12, ntyp = 3
/
ATOMIC_SPECIES
Nd 144.24 Nd.upf
Tm 168.93 Tm.upf
Au 196.97 Au.upf
ATOMIC_POSITIONS angstrom
Nd 0.000 0.698 0.000
Nd 0.000 3.134 2.544
Nd 0.000 6.154 6.129
Nd 0.000 8.590 3.585
Nd 2.549 1.547 4.729
Nd 2.549 7.741 1.144
Tm 2.549 3.957 0.103
Tm 2.549 5.331 3.688
Au 0.000 3.257 5.560
Au 0.000 6.031 1.975
Au 2.549 1.489 1.713
Au 2.549 7.799 5.297
CELL_PARAMETERS angstrom
5.098 0.000 0.000
0.000 9.288 0.000
0.000 0.000 7.170
! * DOS at the Fermi energy: 1.046 states/eV/atom
! * SG: Pmc2_1 (26)
! * volume: 28.29 Å³ per atom
! * calculated formation energy: -53.7 kJ per mole of atoms
! * electronic total energy: -4.778 eV per atom

=====

! Nd2TmAu6 (GGA-PBE, relaxed); values from VASP
&SYSTEM
  ibrav = 0, nat = 9, ntyp = 3
/
ATOMIC_SPECIES
Nd 144.24 Nd.upf
Tm 168.93 Tm.upf
Au 196.97 Au.upf
ATOMIC_POSITIONS angstrom
Nd 0.000 3.829 1.864
Nd 3.316 1.914 3.688
Tm 0.000 0.000 2.776
Au 0.000 2.156 4.562
Au -1.449 4.666 4.562
Au 1.867 1.078 0.990
Au 1.449 4.666 4.562
Au 4.765 1.078 0.990
Au 3.316 3.588 0.990
CELL_PARAMETERS angstrom
6.632 0.000 0.000
-3.316 5.743 0.000
0.000 0.000 5.552
! * DOS at the Fermi energy: 0.646 states/eV/atom
! * SG: P-3m1 (164)
! * volume: 23.50 Å³ per atom
! * calculated formation energy: -63.0 kJ per mole of atoms
! * electronic total energy: -4.394 eV per atom

=====

! NdTm2Au4 (GGA-PBE, relaxed); values from VASP
&SYSTEM
  ibrav = 0, nat = 7, ntyp = 3
/
ATOMIC_SPECIES
Nd 144.24 Nd.upf
Tm 168.93 Tm.upf
Au 196.97 Au.upf
ATOMIC_POSITIONS angstrom
Nd 0.000 0.000 0.000
Tm 3.540 2.194 2.519
Tm 3.540 -2.194 2.519
Au 1.770 2.487 0.000
Au 1.580 0.000 2.519
Au 1.770 -2.487 0.000
Au 5.499 0.000 2.519
CELL_PARAMETERS angstrom
3.540 -4.974 0.000
3.540 4.974 0.000
0.000 0.000 5.038
! * DOS at the Fermi energy: 0.686 states/eV/atom
! * SG: Cmmm (65)
! * volume: 25.35 Å³ per atom
! * calculated formation energy: -66.0 kJ per mole of atoms
! * electronic total energy: -4.516 eV per atom

=====

! NdTmAu4 (GGA-PBE, relaxed); values from VASP
&SYSTEM
  ibrav = 0, nat = 6, ntyp = 3
/
ATOMIC_SPECIES
Nd 144.24 Nd.upf
Tm 168.93 Tm.upf
Au 196.97 Au.upf
ATOMIC_POSITIONS angstrom
Nd 0.000 0.000 0.000
Tm 1.876 3.502 3.529
Au 3.763 5.590 2.416
Au 3.766 4.201 5.751
Au 3.764 2.804 1.307
Au 3.768 1.414 4.643
CELL_PARAMETERS angstrom
3.778 0.000 0.000
1.875 4.923 0.000
1.877 2.082 7.059
! * DOS at the Fermi energy: 0.421 states/eV/atom
! * energy relative to the lowest polymorph listed for this composition: 0.000 eV/atom
! * SG: P-1 (2)
! * volume: 21.88 Å³ per atom
! * calculated formation energy: -79.1 kJ per mole of atoms
! * electronic total energy: -4.545 eV per atom

=====

! NdTmZnAu (GGA-PBE, relaxed); values from VASP
&SYSTEM
  ibrav = 0, nat = 4, ntyp = 4
/
ATOMIC_SPECIES
Nd 144.24 Nd.upf
Tm 168.93 Tm.upf
Zn 65.41 Zn.upf
Au 196.97 Au.upf
ATOMIC_POSITIONS angstrom
Nd 0.000 0.000 0.000
Tm 0.000 0.000 3.592
Zn 1.809 1.809 1.925
Au 1.809 1.809 5.171
CELL_PARAMETERS angstrom
3.617 0.000 0.000
0.000 3.617 0.000
0.000 0.000 7.242
! * DOS at the Fermi energy: 0.851 states/eV/atom
! * energy relative to the lowest polymorph listed for this composition: 0.000 eV/atom
! * SG: P4mm (99)
! * volume: 23.69 Å³ per atom
! * calculated formation energy: -56.2 kJ per mole of atoms
! * electronic total energy: -4.031 eV per atom

=====

! NdTmZnAu (GGA-PBE, relaxed); values from VASP
&SYSTEM
  ibrav = 0, nat = 4, ntyp = 4
/
ATOMIC_SPECIES
Nd 144.24 Nd.upf
Tm 168.93 Tm.upf
Zn 65.41 Zn.upf
Au 196.97 Au.upf
ATOMIC_POSITIONS angstrom
Nd 0.000 0.000 0.000
Tm 3.628 3.628 3.628
Zn 1.814 1.814 1.814
Au 5.441 5.441 5.441
CELL_PARAMETERS angstrom
0.000 3.628 3.628
3.628 0.000 3.628
3.628 3.628 0.000
! * DOS at the Fermi energy: 0.663 states/eV/atom
! * energy relative to the lowest polymorph listed for this composition: 0.026 eV/atom
! * SG: F-43m (216)
! * volume: 23.87 Å³ per atom
! * calculated formation energy: -53.7 kJ per mole of atoms
! * electronic total energy: -4.004 eV per atom

=====

! NdY2Au4 (GGA-PBE, relaxed); values from VASP
&SYSTEM
  ibrav = 0, nat = 7, ntyp = 3
/
ATOMIC_SPECIES
Nd 144.24 Nd.upf
Y 88.91 Y.upf
Au 196.97 Au.upf
ATOMIC_POSITIONS angstrom
Nd 0.000 0.000 0.000
Y 0.000 0.000 3.455
Y 2.554 2.554 0.000
Au 0.000 2.554 1.767
Au 0.000 2.554 5.143
Au 2.554 0.000 1.767
Au 2.554 0.000 5.143
CELL_PARAMETERS angstrom
5.108 0.000 0.000
0.000 5.108 0.000
0.000 0.000 6.910
! * DOS at the Fermi energy: 0.717 states/eV/atom
! * SG: P4/mmm (123)
! * volume: 25.76 Å³ per atom
! * calculated formation energy: -59.2 kJ per mole of atoms
! * electronic total energy: -5.014 eV per atom

=====

! Nd5YAu6 (GGA-PBE, relaxed); values from VASP
&SYSTEM
  ibrav = 0, nat = 12, ntyp = 3
/
ATOMIC_SPECIES
Nd 144.24 Nd.upf
Y 88.91 Y.upf
Au 196.97 Au.upf
ATOMIC_POSITIONS angstrom
Nd 0.000 0.000 0.000
Nd 1.641 0.000 3.316
Nd 4.945 0.000 1.652
Nd 9.989 0.000 3.330
Nd 13.294 0.000 1.666
Y 8.291 0.000 0.000
Au 4.219 1.782 4.174
Au 7.467 1.726 2.491
Au 10.715 1.782 0.808
Au 4.219 -1.782 4.174
Au 7.467 -1.726 2.491
Au 10.715 -1.782 0.808
CELL_PARAMETERS angstrom
8.291 -3.679 0.000
8.291 3.679 0.000
-1.647 0.000 4.982
! * DOS at the Fermi energy: 0.740 states/eV/atom
! * SG: C2/m (12)
! * volume: 25.33 Å³ per atom
! * calculated formation energy: -75.0 kJ per mole of atoms
! * electronic total energy: -4.941 eV per atom

=====

! NdYAu6 (GGA-PBE, relaxed); values from VASP
&SYSTEM
  ibrav = 0, nat = 8, ntyp = 3
/
ATOMIC_SPECIES
Nd 144.24 Nd.upf
Y 88.91 Y.upf
Au 196.97 Au.upf
ATOMIC_POSITIONS angstrom
Nd 0.000 0.000 0.000
Y 2.516 0.000 4.050
Au -0.314 0.000 3.078
Au -0.695 0.000 6.074
Au 2.856 0.000 1.101
Au 2.177 0.000 6.999
Au 5.728 0.000 2.026
Au 5.347 0.000 5.023
CELL_PARAMETERS angstrom
4.431 -2.366 0.000
4.431 2.366 0.000
-3.830 0.000 8.100
! * DOS at the Fermi energy: 0.374 states/eV/atom
! * SG: C2/m (12)
! * volume: 21.23 Å³ per atom
! * calculated formation energy: -62.3 kJ per mole of atoms
! * electronic total energy: -4.508 eV per atom

=====

! Nd2YAu (GGA-PBE, relaxed); values from VASP
&SYSTEM
  ibrav = 0, nat = 8, ntyp = 3
/
ATOMIC_SPECIES
Nd 144.24 Nd.upf
Y 88.91 Y.upf
Au 196.97 Au.upf
ATOMIC_POSITIONS angstrom
Nd 1.912 4.535 5.588
Nd 1.912 4.535 9.586
Nd 1.912 -4.535 0.530
Nd 1.912 -4.535 4.528
Y 1.912 0.799 7.587
Y 1.912 -0.799 2.529
Au 1.912 2.994 2.529
Au 1.912 -2.994 7.587
CELL_PARAMETERS angstrom
1.912 -6.180 0.000
1.912 6.180 0.000
0.000 0.000 10.116
! * DOS at the Fermi energy: 1.261 states/eV/atom
! * energy relative to the lowest polymorph listed for this composition: 0.000 eV/atom
! * SG: Cmcm (63)
! * volume: 29.89 Å³ per atom
! * calculated formation energy: -39.2 kJ per mole of atoms
! * electronic total energy: -5.225 eV per atom

=====

! NdY3Au2 (GGA-PBE, relaxed); values from VASP
&SYSTEM
  ibrav = 0, nat = 12, ntyp = 3
/
ATOMIC_SPECIES
Nd 144.24 Nd.upf
Y 88.91 Y.upf
Au 196.97 Au.upf
ATOMIC_POSITIONS angstrom
Nd 0.000 0.688 0.000
Nd 0.000 8.363 3.604
Y 0.000 3.010 4.587
Y 0.000 6.042 0.983
Y 2.507 1.532 2.442
Y 2.507 3.881 7.030
Y 2.507 5.170 3.426
Y 2.507 7.520 6.046
Au 0.000 3.196 1.690
Au 0.000 5.855 5.294
Au 2.507 1.419 5.357
Au 2.507 7.632 1.753
CELL_PARAMETERS angstrom
5.014 0.000 0.000
0.000 9.051 0.000
0.000 0.000 7.208
! * DOS at the Fermi energy: 1.117 states/eV/atom
! * SG: Pmc2_1 (26)
! * volume: 27.26 Å³ per atom
! * calculated formation energy: -59.8 kJ per mole of atoms
! * electronic total energy: -5.739 eV per atom

=====

! Nd2Y3Au4 (GGA-PBE, relaxed); values from VASP
&SYSTEM
  ibrav = 0, nat = 18, ntyp = 3
/
ATOMIC_SPECIES
Nd 144.24 Nd.upf
Y 88.91 Y.upf
Au 196.97 Au.upf
ATOMIC_POSITIONS angstrom
Nd 3.544 7.240 6.940
Nd 3.544 1.723 3.173
Nd 3.544 -1.723 4.361
Nd 3.544 -7.240 0.594
Y 0.000 0.000 3.767
Y 1.772 4.244 5.650
Y 1.772 -4.244 1.883
Y 3.544 0.000 0.000
Y 5.316 4.244 5.650
Y 5.316 -4.244 1.883
Au 3.544 5.971 3.995
Au 1.772 1.233 5.650
Au 1.772 -1.233 1.883
Au 3.544 2.993 0.228
Au 3.544 -2.993 7.306
Au 5.316 1.233 5.650
Au 5.316 -1.233 1.883
Au 3.544 -5.971 3.539
CELL_PARAMETERS angstrom
3.544 -8.963 0.000
3.544 8.963 0.000
0.000 0.000 7.534
! * DOS at the Fermi energy: 1.072 states/eV/atom
! * SG: Cmce (64)
! * volume: 26.59 Å³ per atom
! * calculated formation energy: -64.6 kJ per mole of atoms
! * electronic total energy: -5.340 eV per atom

=====

! Nd4YAu2 (GGA-PBE, relaxed); values from VASP
&SYSTEM
  ibrav = 0, nat = 7, ntyp = 3
/
ATOMIC_SPECIES
Nd 144.24 Nd.upf
Y 88.91 Y.upf
Au 196.97 Au.upf
ATOMIC_POSITIONS angstrom
Nd 0.000 0.000 3.254
Nd 0.000 0.000 7.285
Nd 0.000 0.000 18.787
Nd 0.000 0.000 22.819
Y 0.000 0.000 13.036
Au 0.000 0.000 10.239
Au 0.000 0.000 15.834
CELL_PARAMETERS angstrom
2.733 1.578 8.691
-2.733 1.578 8.691
0.000 -3.156 8.691
! * DOS at the Fermi energy: 1.535 states/eV/atom
! * SG: R-3m (166)
! * volume: 32.12 Å³ per atom
! * calculated formation energy: -21.3 kJ per mole of atoms
! * electronic total energy: -4.805 eV per atom

=====

! Nd2YAu (GGA-PBE, relaxed); values from VASP
&SYSTEM
  ibrav = 0, nat = 16, ntyp = 3
/
ATOMIC_SPECIES
Nd 144.24 Nd.upf
Y 88.91 Y.upf
Au 196.97 Au.upf
ATOMIC_POSITIONS angstrom
Nd 1.402 0.561 1.248
Nd 1.402 4.518 1.248
Nd 2.181 5.639 4.620
Nd 2.181 9.596 4.620
Nd 4.986 0.561 2.125
Nd 4.986 4.518 2.125
Nd 5.765 5.639 5.497
Nd 5.765 9.596 5.497
Y 0.134 2.539 4.248
Y 3.449 7.618 0.875
Y 3.718 2.539 5.870
Y 7.033 7.618 2.497
Au 0.704 7.618 6.436
Au 2.880 2.539 3.063
Au 4.287 7.618 3.682
Au 6.464 2.539 0.309
CELL_PARAMETERS angstrom
7.167 0.000 0.000
0.000 10.157 0.000
0.000 0.000 6.745
! * DOS at the Fermi energy: 0.966 states/eV/atom
! * energy relative to the lowest polymorph listed for this composition: 0.002 eV/atom
! * SG: Pnma (62)
! * volume: 30.69 Å³ per atom
! * calculated formation energy: -39.0 kJ per mole of atoms
! * electronic total energy: -5.223 eV per atom

=====

! NdYAu5 (GGA-PBE, relaxed); values from VASP
&SYSTEM
  ibrav = 0, nat = 14, ntyp = 3
/
ATOMIC_SPECIES
Nd 144.24 Nd.upf
Y 88.91 Y.upf
Au 196.97 Au.upf
ATOMIC_POSITIONS angstrom
Nd 1.666 2.090 0.000
Nd 0.016 -2.090 5.550
Y 0.858 2.582 8.325
Y 2.508 -2.582 2.775
Au -0.575 0.885 5.959
Au 2.508 2.732 2.775
Au 1.075 -0.885 0.409
Au 1.502 0.072 3.839
Au -0.148 -0.072 9.389
Au 3.513 0.072 1.711
Au 1.864 -0.072 7.261
Au 2.291 0.885 10.691
Au 0.858 -2.732 8.325
Au 3.941 -0.885 5.141
CELL_PARAMETERS angstrom
3.332 -4.180 0.000
3.332 4.180 0.000
-3.300 0.000 11.100
! * DOS at the Fermi energy: 0.628 states/eV/atom
! * SG: C2/c (15)
! * volume: 22.09 Å³ per atom
! * calculated formation energy: -60.5 kJ per mole of atoms
! * electronic total energy: -4.573 eV per atom

=====

! Nd12Y5Au3 (GGA-PBE, relaxed); values from VASP
&SYSTEM
  ibrav = 0, nat = 80, ntyp = 3
/
ATOMIC_SPECIES
Nd 144.24 Nd.upf
Y 88.91 Y.upf
Au 196.97 Au.upf
ATOMIC_POSITIONS angstrom
Nd 8.975 -1.599 2.743
Nd 13.880 -1.827 2.972
Nd 2.743 -0.167 1.599
Nd 10.969 6.170 -4.738
Nd 11.885 0.167 1.599
Nd 10.969 -2.972 4.738
Nd 1.599 2.743 -0.167
Nd 12.114 4.404 -1.827
Nd 6.170 4.738 -1.827
Nd 7.543 2.743 0.167
Nd -0.167 1.599 2.743
Nd 4.738 -1.827 6.170
Nd 8.975 7.543 -2.743
Nd 4.738 1.827 2.972
Nd 7.543 -2.743 8.975
Nd 6.170 -4.738 10.969
Nd 2.972 4.738 1.827
Nd 10.741 6.398 0.167
Nd 2.743 8.975 -1.599
Nd 10.969 2.972 4.404
Nd 1.827 2.972 4.738
Nd 2.743 0.167 7.543
Nd 4.738 10.969 -2.972
Nd 8.975 1.599 6.398
Nd 0.167 7.543 2.743
Nd 4.404 -1.827 12.114
Nd 6.398 8.975 1.599
Nd 7.314 6.170 4.404
Nd -1.827 6.170 4.738
Nd 6.398 0.167 10.741
Nd -1.599 2.743 8.975
Nd 6.170 4.404 7.314
Nd 2.972 13.880 -1.827
Nd 1.599 11.885 0.167
Nd 4.404 7.314 6.170
Nd 0.167 1.599 11.885
Nd 4.404 10.969 2.972
Nd 9.309 7.543 6.398
Nd 1.599 6.398 8.975
Nd 2.972 4.404 10.969
Nd -2.972 4.738 10.969
Nd 7.543 6.398 9.309
Nd -1.827 12.114 4.404
Nd -2.743 8.975 7.543
Nd -1.827 2.972 13.880
Nd 6.398 9.309 7.543
Nd -4.738 10.969 6.170
Nd 0.167 10.741 6.398
Y 0.000 0.000 0.000
Y 4.571 4.571 -4.571
Y 4.571 -4.571 4.571
Y 9.142 0.000 0.000
Y 13.713 2.285 0.000
Y 9.142 -4.571 6.856
Y 6.856 9.142 -4.571
Y 6.856 0.000 4.571
Y 4.571 6.856 0.000
Y 9.142 4.571 2.285
Y -4.571 4.571 4.571
Y 0.000 9.142 0.000
Y 0.000 0.000 9.142
Y 4.571 4.571 4.571
Y 0.000 4.571 6.856
Y 4.571 2.285 9.142
Y 2.285 9.142 4.571
Y 2.285 0.000 13.713
Y 0.000 13.713 2.285
Y -4.571 6.856 9.142
Au 4.571 2.285 0.000
Au 9.142 4.571 -2.285
Au 2.285 0.000 4.571
Au 11.427 0.000 4.571
Au 0.000 4.571 2.285
Au 4.571 -2.285 9.142
Au 4.571 11.427 0.000
Au 9.142 4.571 6.856
Au -2.285 9.142 4.571
Au 6.856 9.142 4.571
Au 0.000 4.571 11.427
Au 4.571 6.856 9.142
CELL_PARAMETERS angstrom
-9.142 9.142 9.142
9.142 -9.142 9.142
9.142 9.142 -9.142
! * DOS at the Fermi energy: 1.792 states/eV/atom
! * SG: Ia-3d (230)
! * volume: 38.20 Å³ per atom
! * calculated formation energy: 61.5 kJ per mole of atoms
! * electronic total energy: -4.331 eV per atom

=====

! Nd2YAu (GGA-PBE, relaxed); values from VASP
&SYSTEM
  ibrav = 0, nat = 4, ntyp = 3
/
ATOMIC_SPECIES
Nd 144.24 Nd.upf
Y 88.91 Y.upf
Au 196.97 Au.upf
ATOMIC_POSITIONS angstrom
Nd 0.000 0.000 0.000
Nd 0.000 0.000 5.800
Y 0.000 0.000 13.053
Au 0.000 0.000 18.162
CELL_PARAMETERS angstrom
1.893 1.093 10.171
-1.893 1.093 10.171
0.000 -2.186 10.171
! * DOS at the Fermi energy: 1.375 states/eV/atom
! * energy relative to the lowest polymorph listed for this composition: 0.169 eV/atom
! * SG: R3m (160)
! * volume: 31.57 Å³ per atom
! * calculated formation energy: -22.9 kJ per mole of atoms
! * electronic total energy: -5.057 eV per atom

=====

! Nd2YAu6 (GGA-PBE, relaxed); values from VASP
&SYSTEM
  ibrav = 0, nat = 9, ntyp = 3
/
ATOMIC_SPECIES
Nd 144.24 Nd.upf
Y 88.91 Y.upf
Au 196.97 Au.upf
ATOMIC_POSITIONS angstrom
Nd 0.000 3.866 1.863
Nd 3.348 1.933 3.659
Y 0.000 0.000 2.761
Au 0.000 2.196 4.556
Au -1.446 4.701 4.556
Au 1.902 1.098 0.966
Au 1.446 4.701 4.556
Au 4.794 1.098 0.966
Au 3.348 3.603 0.966
CELL_PARAMETERS angstrom
6.696 0.000 0.000
-3.348 5.799 0.000
0.000 0.000 5.522
! * DOS at the Fermi energy: 0.683 states/eV/atom
! * SG: P-3m1 (164)
! * volume: 23.82 Å³ per atom
! * calculated formation energy: -60.5 kJ per mole of atoms
! * electronic total energy: -4.590 eV per atom